Record 1
VASP calculation (GGA-PBE) on a relaxed structure of YAg5Cl8.

Properties
- Crystal system: tetragonal
- Fermi-level density of states: 0.00 states/eV per cell

Cell: 7.570 7.570 7.570 Å, 107.36 107.36 113.78°
Element x y z (fractional)
Cl1 0.179 0.370 0.246
Ag1 0.500 0.500 0.000
Ag2 0.915 0.318 0.898
Ag3 0.984 0.085 0.403
Cl2 0.125 0.933 0.754
Cl3 0.067 0.821 0.192
Cl4 0.630 0.875 0.808
Cl5 0.536 0.253 0.685
Ag4 0.682 0.580 0.597
Cl6 0.149 0.464 0.716
Ag5 0.420 0.016 0.102
Y1 0.250 0.750 0.500
Cl7 0.567 0.851 0.315
Cl8 0.747 0.433 0.284

***

Record 2
VASP calculation (GGA-PBE) on a relaxed structure of YAg6Cl12.

Properties
- Crystal system: trigonal
- Fermi-level density of states: 7.92 states/eV per cell

Cell: 8.730 8.730 8.730 Å, 76.85 76.85 76.85°
Element x y z (fractional)
Cl1 0.942 0.995 0.313
Cl2 0.447 0.593 0.822
Cl3 0.995 0.313 0.942
Cl4 0.553 0.407 0.178
Ag1 0.295 0.597 0.111
Cl5 0.005 0.687 0.058
Cl6 0.313 0.942 0.995
Cl7 0.058 0.005 0.687
Cl8 0.687 0.058 0.005
Ag2 0.889 0.705 0.403
Ag3 0.705 0.403 0.889
Cl9 0.593 0.822 0.447
Cl10 0.407 0.178 0.553
Cl11 0.822 0.447 0.593
Cl12 0.178 0.553 0.407
Ag4 0.403 0.889 0.705
Ag5 0.597 0.111 0.295
Y1 0.000 0.000 0.000
Ag6 0.111 0.295 0.597

***

Number 1: uncorrected formation energy -0.92 eV/atom. Number 2: uncorrected formation energy -0.78 eV/atom.